A relaxed TaMnNb2Al crystal. Source: the Alexandria database, functional GGA-PBE.

a b c (Å): 4.9064 4.5380 4.9064
angles (deg): 90.00 90.00 90.00
Closest atoms and distances in Å follow each position.
Fractional coordinates of all 5 atoms:
Al  0.5000  0.5000  0.5000  8 Nb 3.34, 4 Mn 3.47
Mn  0.0000  0.5000  0.0000  2 Ta 2.27
Nb  0.0000  0.0000  0.5000  2 Ta 2.45
Ta  0.0000  0.0000  0.0000  2 Mn 2.27, 4 Nb 2.45
Nb  0.5000  0.0000  0.0000  2 Ta 2.45

As for the crystal system: tetragonal. The calculated formation energy comes out at 1.357 eV per atom. For the magnetic moment, the calculation gives 1.4 μB/f.u.


A relaxed Mn2NbAlTc crystal. Source: the Alexandria database, functional GGA-PBE.

a b c (Å): 4.3552 4.5567 4.3552
angles (deg): 90.00 90.00 90.00
Closest atoms and distances in Å follow each position.
Fractional coordinates of all 5 atoms:
Nb  0.5000  0.5000  0.5000  4 Al 3.08, 8 Mn 3.15
Al  0.0000  0.5000  0.0000  2 Tc 2.28
Mn  0.5000  0.0000  0.0000  2 Tc 2.18
Tc  0.0000  0.0000  0.0000  4 Mn 2.18, 2 Al 2.28
Mn  0.0000  0.0000  0.5000  2 Tc 2.18

As for the crystal system: tetragonal. The calculated formation energy comes out at 1.180 eV per atom. For the magnetic moment, the calculation gives 0.6 μB/f.u.


A relaxed MnNb2AlTe crystal. Source: the Alexandria database, functional GGA-PBE.

a b c (Å): 5.0300 4.9975 5.0300
angles (deg): 90.00 90.00 90.00
Closest atoms and distances in Å follow each position.
Fractional coordinates of all 5 atoms:
Nb  0.0000  0.0000  0.5000  2 Te 2.52
Al  0.0000  0.5000  0.0000  2 Te 2.50
Mn  0.5000  0.5000  0.5000  8 Nb 3.55, 4 Al 3.56
Te  0.0000  0.0000  0.0000  2 Al 2.50, 4 Nb 2.52
Nb  0.5000  0.0000  0.0000  2 Te 2.52

As for the crystal system: tetragonal. The value obtained for the raw formation energy is 1984 meV/atom. For the magnetic moment, the calculation gives 0.3 μB/f.u.


A relaxed MnNbAl2W crystal. Source: the Alexandria database, functional GGA-PBE.

a b c (Å): 4.4096 4.5186 4.4096
angles (deg): 90.00 90.00 90.00
Closest atoms and distances in Å follow each position.
Fractional coordinates of all 5 atoms:
Mn  0.0000  0.0000  0.0000  4 Al 2.20, 2 Nb 2.26
W  0.5000  0.5000  0.5000  4 Nb 3.12, 8 Al 3.16
Al  0.5000  0.0000  0.0000  2 Mn 2.20
Al  0.0000  0.0000  0.5000  2 Mn 2.20
Nb  0.0000  0.5000  0.0000  2 Mn 2.26

As for the crystal system: tetragonal. The calculated formation energy comes out at 0.894 eV per atom. For the magnetic moment, the calculation gives 2.3 μB/f.u.


A relaxed MnNbAlZn2 crystal. Source: the Alexandria database, functional GGA-PBE.

a b c (Å): 4.9196 4.9813 4.9196
angles (deg): 90.00 90.00 90.00
Closest atoms and distances in Å follow each position.
Fractional coordinates of all 5 atoms:
Zn  0.5000  0.0000  0.0000  2 Nb 2.46
Al  0.0000  0.5000  0.0000  2 Nb 2.49
Zn  0.0000  0.0000  0.5000  2 Nb 2.46
Mn  0.5000  0.5000  0.5000  4 Al 3.48, 8 Zn 3.50
Nb  0.0000  0.0000  0.0000  4 Zn 2.46, 2 Al 2.49

As for the crystal system: tetragonal. The calculated formation energy comes out at 1.672 eV per atom. The calculation puts the distance to the lowest polymorph of the same formula at 0.987 eV/atom. For the magnetic moment, the calculation gives 0.1 μB/f.u.


A relaxed MnNbAlZn2 crystal. Source: the Alexandria database, functional GGA-PBE.

a b c (Å): 4.6218 4.3856 4.6218
angles (deg): 90.00 90.00 90.00
Closest atoms and distances in Å follow each position.
Fractional coordinates of all 5 atoms:
Mn  0.0000  0.0000  0.0000  2 Nb 2.19, 4 Zn 2.31
Zn  0.5000  0.0000  0.0000  2 Mn 2.31
Nb  0.0000  0.5000  0.0000  2 Mn 2.19
Al  0.5000  0.5000  0.5000  8 Zn 3.19, 4 Nb 3.27
Zn  0.0000  0.0000  0.5000  2 Mn 2.31

As for the crystal system: tetragonal. The calculated formation energy comes out at 0.684 eV per atom. The calculation puts the distance to the lowest polymorph of the same formula at 0.000 eV/atom. For the magnetic moment, the calculation gives 0.0 μB/f.u.


A relaxed Zr2MnNbAl crystal. Source: the Alexandria database, functional GGA-PBE.

a b c (Å): 5.1435 4.4484 5.1435
angles (deg): 90.00 90.00 90.00
Closest atoms and distances in Å follow each position.
Fractional coordinates of all 5 atoms:
Zr  0.5000  0.0000  0.0000  2 Nb 2.57
Mn  0.0000  0.5000  0.0000  2 Nb 2.22
Zr  0.0000  0.0000  0.5000  2 Nb 2.57
Nb  0.0000  0.0000  0.0000  2 Mn 2.22
Al  0.5000  0.5000  0.5000  8 Zr 3.40, 4 Mn 3.64

As for the crystal system: tetragonal. The calculated formation energy comes out at 0.971 eV per atom. For the magnetic moment, the calculation gives 1.8 μB/f.u.


A relaxed NdMnAl11 crystal. Source: the Alexandria database, functional GGA-PBE.

a b c (Å): 5.2187 7.1542 6.8285
angles (deg): 82.41 67.53 69.79
Closest atoms and distances in Å follow each position.
Fractional coordinates of all 13 atoms:
Al  0.5000  0.0000  0.5000  8 Al 2.61-2.88
Al  0.0270  0.6365  0.3430  1 Mn 2.66, 6 Al 2.70-2.93
Mn  0.5000  0.5000  0.0000  10 Al 2.58-2.66
Al  0.0000  0.5000  0.0000  2 Mn 2.61, 8 Al 2.65-2.72
Al  0.5001  0.2307  0.7840  1 Mn 2.58, 6 Al 2.65-2.84
Al  0.7159  0.7693  0.7840  1 Mn 2.58, 6 Al 2.65-2.84
Al  0.6299  0.3635  0.3430  1 Mn 2.66, 6 Al 2.70-2.93
Al  0.4999  0.7693  0.2160  1 Mn 2.58, 6 Al 2.65-2.84
Al  0.2841  0.2307  0.2160  1 Mn 2.58, 6 Al 2.65-2.84
Al  0.3701  0.6365  0.6570  1 Mn 2.66, 6 Al 2.70-2.93
Nd  0.0000  0.0000  0.0000  18 Al 3.26-3.58, 2 Mn 3.63
Al  0.0000  0.0000  0.5000  8 Al 2.61-2.88
Al  0.9730  0.3635  0.6570  1 Mn 2.66, 6 Al 2.70-2.93

As for the crystal system: monoclinic. The calculated formation energy comes out at -0.187 eV per atom. For the magnetic moment, the calculation gives 0.3 μB/f.u.